Record 1
Computed, not measured: KBi3C after structural relaxation at the PBE-GGA level of DFT.

The structure in CIF format:
```
data_KBi3C
_chemical_formula_sum 'K1 Bi3 C1'
_cell_length_a 6.0341
_cell_length_b 6.0341
_cell_length_c 6.0341
_cell_angle_alpha 90.00
_cell_angle_beta 90.00
_cell_angle_gamma 90.00
_symmetry_space_group_name_H-M 'P 1'
_symmetry_Int_Tables_number 1
_symmetry_space_group_name_Hall 'P 1'
loop_
_atom_site_label
_atom_site_fract_x
_atom_site_fract_y
_atom_site_fract_z
Bi1 0.5000 0.0000 0.0000
Bi2 0.0000 0.0000 0.5000
Bi3 0.0000 0.5000 0.0000
K1 0.0000 0.0000 0.0000
C1 0.5000 0.5000 0.5000
```

Values from the calculation:
Spin magnetization in μB/atom: 0.10
Final energy in eV per atom: -1.941
E_form in eV/atom: 2.45
Space-group type: Pm-3m, No. 221
Distance to the lowest polymorph of the same formula in meV/atom: 1684.7

Record 2
Computed, not measured: CaZr3B after structural relaxation at the PBE-GGA level of DFT.

The structure in CIF format:
```
data_CaZr3B
_chemical_formula_sum 'Ca1 Zr3 B1'
_cell_length_a 4.8346
_cell_length_b 4.8346
_cell_length_c 4.8346
_cell_angle_alpha 90.00
_cell_angle_beta 90.00
_cell_angle_gamma 90.00
_symmetry_space_group_name_H-M 'P 1'
_symmetry_Int_Tables_number 1
_symmetry_space_group_name_Hall 'P 1'
loop_
_atom_site_label
_atom_site_fract_x
_atom_site_fract_y
_atom_site_fract_z
Zr1 0.0000 0.0000 0.5000
Zr2 0.0000 0.5000 0.0000
Zr3 0.5000 0.0000 0.0000
Ca1 0.5000 0.5000 0.5000
B1 0.0000 0.0000 0.0000
```

Values from the calculation:
Spin magnetization in μB/atom: 0.00
Final energy in eV per atom: -6.784
E_form in eV/atom: 0.08
Space-group type: Pm-3m, No. 221
Distance to the lowest polymorph of the same formula in meV/atom: 0.0

Record 3
Computed, not measured: In2SnAu3 after structural relaxation at the PBE-GGA level of DFT.

The structure in CIF format:
```
data_In2SnAu3
_chemical_formula_sum 'In4 Sn2 Au6'
_cell_length_a 4.5008
_cell_length_b 6.9518
_cell_length_c 9.1164
_cell_angle_alpha 100.42
_cell_angle_beta 90.00
_cell_angle_gamma 90.00
_symmetry_space_group_name_H-M 'P 1'
_symmetry_Int_Tables_number 1
_symmetry_space_group_name_Hall 'P 1'
loop_
_atom_site_label
_atom_site_fract_x
_atom_site_fract_y
_atom_site_fract_z
In1 0.2500 0.9426 0.1649
In2 0.7500 0.0574 0.8351
In3 0.2500 0.7520 0.4997
In4 0.7500 0.2480 0.5003
Au1 0.2500 0.3469 0.3381
Au2 0.7500 0.8464 0.3344
Au3 0.2500 0.2538 0.0011
Au4 0.2500 0.1536 0.6656
Au5 0.7500 0.7462 0.9989
Au6 0.7500 0.6531 0.6619
Sn1 0.7500 0.4431 0.1681
Sn2 0.2500 0.5569 0.8319
```

Values from the calculation:
Spin magnetization in μB/atom: 0.00
Final energy in eV per atom: -3.373
E_form in eV/atom: -0.15
Space-group type: P2_1/m, No. 11
Distance to the lowest polymorph of the same formula in meV/atom: 3.3

Record 4
Computed, not measured: Ni3PdN after structural relaxation at the PBE-GGA level of DFT.

The structure in CIF format:
```
data_Ni3PdN
_chemical_formula_sum 'Ni12 Pd4 N4'
_cell_length_a 7.0453
_cell_length_b 7.0453
_cell_length_c 7.0453
_cell_angle_alpha 60.00
_cell_angle_beta 60.00
_cell_angle_gamma 60.00
_symmetry_space_group_name_H-M 'P 1'
_symmetry_Int_Tables_number 1
_symmetry_space_group_name_Hall 'P 1'
loop_
_atom_site_label
_atom_site_fract_x
_atom_site_fract_y
_atom_site_fract_z
N1 0.1250 0.1250 0.6250
N2 0.1250 0.1250 0.1250
N3 0.1250 0.6250 0.1250
N4 0.6250 0.1250 0.1250
Ni1 0.0617 0.4383 0.0617
Ni2 0.1883 0.8117 0.1883
Ni3 0.1883 0.8117 0.8117
Ni4 0.0617 0.4383 0.4383
Ni5 0.8117 0.1883 0.1883
Ni6 0.8117 0.1883 0.8117
Ni7 0.8117 0.8117 0.1883
Ni8 0.0617 0.0617 0.4383
Ni9 0.4383 0.0617 0.0617
Ni10 0.4383 0.0617 0.4383
Ni11 0.1883 0.1883 0.8117
Ni12 0.4383 0.4383 0.0617
Pd1 0.1250 0.6250 0.6250
Pd2 0.6250 0.6250 0.6250
Pd3 0.6250 0.1250 0.6250
Pd4 0.6250 0.6250 0.1250
```

Values from the calculation:
Spin magnetization in μB/atom: 0.00
Final energy in eV per atom: -5.957
Space-group type: Fd-3m, No. 227
Formation energy without anion corrections in eV per atom: 0.2152

Record 5
Computed, not measured: LiPmPuTe3 after structural relaxation at the PBE-GGA level of DFT.

The structure in CIF format:
```
data_LiPmPuTe3
_chemical_formula_sum 'Li2 Pm2 Pu2 Te6'
_cell_length_a 4.3055
_cell_length_b 9.0177
_cell_length_c 9.6372
_cell_angle_alpha 103.18
_cell_angle_beta 90.00
_cell_angle_gamma 90.00
_symmetry_space_group_name_H-M 'P 1'
_symmetry_Int_Tables_number 1
_symmetry_space_group_name_Hall 'P 1'
loop_
_atom_site_label
_atom_site_fract_x
_atom_site_fract_y
_atom_site_fract_z
Te1 0.2500 0.0873 0.8718
Te2 0.7500 0.9127 0.1282
Te3 0.2500 0.7694 0.5056
Te4 0.7500 0.4234 0.1726
Te5 0.2500 0.5766 0.8274
Te6 0.7500 0.2306 0.4944
Pu1 0.7500 0.3304 0.8368
Pu2 0.2500 0.6696 0.1632
Pm1 0.7500 0.8154 0.7680
Pm2 0.2500 0.1846 0.2320
Li1 0.7500 0.9140 0.4159
Li2 0.2500 0.0860 0.5841
```

Values from the calculation:
Spin magnetization in μB/atom: 0.97
Final energy in eV per atom: -6.242
Space-group type: P2_1/m, No. 11
Formation energy without anion corrections in eV per atom: -1.1713

Record 6
Computed, not measured: Na3NbSn after structural relaxation at the PBE-GGA level of DFT.

The structure in CIF format:
```
data_Na3NbSn
_chemical_formula_sum 'Na3 Nb1 Sn1'
_cell_length_a 5.7281
_cell_length_b 5.7281
_cell_length_c 5.7281
_cell_angle_alpha 90.00
_cell_angle_beta 90.00
_cell_angle_gamma 90.00
_symmetry_space_group_name_H-M 'P 1'
_symmetry_Int_Tables_number 1
_symmetry_space_group_name_Hall 'P 1'
loop_
_atom_site_label
_atom_site_fract_x
_atom_site_fract_y
_atom_site_fract_z
Nb1 0.5000 0.5000 0.5000
Na1 0.0000 0.0000 0.5000
Na2 0.5000 0.0000 0.0000
Na3 0.0000 0.5000 0.0000
Sn1 0.0000 0.0000 0.0000
```

Values from the calculation:
Spin magnetization in μB/atom: 0.80
Final energy in eV per atom: -2.509
E_form in eV/atom: 1.10
Space-group type: Pm-3m, No. 221
Distance to the lowest polymorph of the same formula in meV/atom: 0.0

Record 7
Computed, not measured: BeNi2Ru after structural relaxation at the PBE-GGA level of DFT.

The structure in CIF format:
```
data_BeNi2Ru
_chemical_formula_sum 'Be1 Ni2 Ru1'
_cell_length_a 2.5845
_cell_length_b 2.5845
_cell_length_c 6.4288
_cell_angle_alpha 90.00
_cell_angle_beta 90.00
_cell_angle_gamma 90.00
_symmetry_space_group_name_H-M 'P 1'
_symmetry_Int_Tables_number 1
_symmetry_space_group_name_Hall 'P 1'
loop_
_atom_site_label
_atom_site_fract_x
_atom_site_fract_y
_atom_site_fract_z
Be1 0.5000 0.5000 0.7500
Ni1 0.0000 0.0000 0.5423
Ni2 0.0000 0.0000 0.9577
Ru1 0.5000 0.5000 0.2500
```

Values from the calculation:
Spin magnetization in μB/atom: 0.13
Final energy in eV per atom: -6.273
E_form in eV/atom: -0.13
Space-group type: P4/mmm, No. 123

Record 8
Computed, not measured: SmDyCu10 after structural relaxation at the PBE-GGA level of DFT.

The structure in CIF format:
```
data_SmDyCu10
_chemical_formula_sum 'Sm1 Dy1 Cu10'
_cell_length_a 4.1053
_cell_length_b 5.0540
_cell_length_c 8.6925
_cell_angle_alpha 90.00
_cell_angle_beta 90.00
_cell_angle_gamma 90.00
_symmetry_space_group_name_H-M 'P 1'
_symmetry_Int_Tables_number 1
_symmetry_space_group_name_Hall 'P 1'
loop_
_atom_site_label
_atom_site_fract_x
_atom_site_fract_y
_atom_site_fract_z
Cu1 0.5000 0.2486 0.2470
Cu2 0.5000 0.7514 0.2470
Cu3 0.0000 0.0000 0.3305
Cu4 0.0000 0.5000 0.8362
Cu5 0.5000 0.7514 0.7530
Cu6 0.0000 0.5000 0.1638
Cu7 0.5000 0.0000 0.5000
Cu8 0.5000 0.2486 0.7530
Cu9 0.0000 0.0000 0.6695
Cu10 0.5000 0.5000 0.0000
Dy1 0.0000 0.0000 0.0000
Sm1 0.0000 0.5000 0.5000
```

Values from the calculation:
Spin magnetization in μB/atom: 0.00
Final energy in eV per atom: -4.374
E_form in eV/atom: -0.18
Space-group type: Pmmm, No. 47

> What is the formula in the fourth record?

Ni3PdN

> What is the spin magnetization in the first record?

0.10 μB/atom

> spin magnetization of number 7 (BeNi2Ru)?

0.13 μB/atom